The following is a PBE calculation of an optimized crystal structure of InAu17, from OQMD.

POSCAR file:
```
InAu17
1.0
5.0107 0.0000 0.0000
0.0000 5.7954 0.0000
-0.0121 0.0000 33.6861
In Au
2 34
direct
0.1679 0.2500 0.2998 In
0.8321 0.7500 0.7002 In
0.0000 0.0000 0.0000 Au
0.0000 0.5000 0.0000 Au
0.0005 0.5013 0.7815 Au
0.0005 0.9987 0.7815 Au
0.1659 0.7500 0.0728 Au
0.1671 0.2500 0.0732 Au
0.1675 0.7500 0.2930 Au
0.1677 0.7500 0.8544 Au
0.1690 0.2500 0.8544 Au
0.3320 0.0005 0.7068 Au
0.3320 0.4995 0.7068 Au
0.3322 0.5006 0.1458 Au
0.3322 0.9994 0.1458 Au
0.3337 0.9997 0.9272 Au
0.3337 0.5003 0.9272 Au
0.4980 0.2500 0.2186 Au
0.4990 0.2500 0.0000 Au
0.4994 0.7500 0.2187 Au
0.5006 0.2500 0.7813 Au
0.5010 0.7500 0.0000 Au
0.5020 0.7500 0.7814 Au
0.6663 0.0003 0.0728 Au
0.6663 0.4997 0.0728 Au
0.6680 0.9995 0.2932 Au
0.6678 0.0006 0.8542 Au
0.6678 0.4994 0.8542 Au
0.6680 0.5005 0.2932 Au
0.8310 0.7500 0.1456 Au
0.8323 0.2500 0.1456 Au
0.8325 0.2500 0.7070 Au
0.8329 0.7500 0.9268 Au
0.8341 0.2500 0.9272 Au
0.9995 0.0013 0.2185 Au
0.9995 0.4987 0.2185 Au
```

Calculated values
Polymorph energy (0 for the lowest one) ... 3 meV per atom